(1)
A plane-wave DFT calculation with PBE was carried out for a relaxed structure of UNi2Rh2.

abc: 4.896 4.896 4.993
angles: 119.36 119.36 90.00
Each line ends with the local moment (μB).
Fractional positions:
U  0.000  0.000  0.000  -0.72
Ni  0.250  0.750  0.500  0.19
Ni  0.750  0.250  0.500  0.19
Rh  0.323  0.323  0.646  0.10
Rh  0.677  0.677  0.354  0.10

Its density of states at the Fermi level is 1.679 states/eV per atom. For the energy of formation from the pure elements, the calculation gives 0.09 eV per atom. The magnetic moment comes out at 0.22 μB/cell. As for the space-group type: I4/mmm (139).

(2)
A plane-wave DFT calculation with PBE was carried out for a relaxed structure of Tb3Pr2YHo6.

abc: 6.184 6.184 11.811
angles: 94.99 94.99 119.96
Fractional positions:
Tb  0.167  0.833  0.500
Tb  0.833  0.167  0.500
Tb  0.500  0.500  0.500
Pr  0.333  0.667  0.000
Pr  0.667  0.333  0.000
Y  0.000  0.000  0.000
Ho  0.915  0.582  0.747
Ho  0.752  0.752  0.253
Ho  0.085  0.418  0.253
Ho  0.582  0.915  0.747
Ho  0.248  0.248  0.747
Ho  0.418  0.085  0.253

Its density of states at the Fermi level is 1.266 states/eV per atom. For the energy of formation from the pure elements, the calculation gives 0.02 eV per atom. The magnetic moment comes out at 0.00 μB/cell. As for the space-group type: C2/m (12).

(3)
A plane-wave DFT calculation with PBE was carried out for a relaxed structure of ZnNiBr2.

abc: 4.276 4.276 9.080
angles: 90.00 90.00 133.23
Each line ends with the local moment (μB).
Fractional positions:
Br  0.000  0.000  0.073  0.01
Br  0.000  0.000  0.427  0.01
Ni  0.500  0.500  0.250  0.23
Zn  0.500  0.500  0.750  -0.01

Its density of states at the Fermi level is 1.187 states/eV per atom. The magnetic moment comes out at 0.24 μB/cell. As for the space-group type: Cmmm (65). For the energy, the calculation gives -10.25 eV/cell.

(4)
A plane-wave DFT calculation with PBE was carried out for a relaxed structure of CdW2Cl.

abc: 3.167 3.167 8.111
angles: 90.00 90.00 90.00
Fractional positions:
Cl  0.500  0.500  0.803
W  0.000  0.000  0.038
W  0.500  0.500  0.207
Cd  0.000  0.000  0.452

Its density of states at the Fermi level is 0.783 states/eV per atom. The magnetic moment comes out at 0.00 μB/cell. As for the space-group type: P4mm (99). For the energy, the calculation gives -26.88 eV/cell.